Record 1
# RbAlTe2C | the Alexandria database | SCAN | single point on PBEsol structure
# **Space group**: P4/mmm (123)
# **VASP energy**: -0.7885 Ha/atom
# **Formation energy from raw total energies**: 1.163 eV/atom
data_RbAlTe2C
_chemical_formula_sum 'Rb1 Al1 Te2 C1'
_cell_length_a 5.190
_cell_length_b 5.190
_cell_length_c 7.269
_cell_angle_alpha 90.00
_cell_angle_beta 90.00
_cell_angle_gamma 90.00
_symmetry_space_group_name_H-M 'P 1'
_symmetry_Int_Tables_number 1
loop_
_symmetry_equiv_pos_as_xyz
'x,y,z'
loop_
_atom_site_label
_atom_site_fract_x
_atom_site_fract_y
_atom_site_fract_z
C1 0.500 0.500 0.500
Te1 0.000 0.500 0.000
Te2 0.500 0.000 0.000
Al1 0.000 0.000 0.000
Rb1 0.000 0.000 0.500

Record 2
# SrAlRu2C | the Alexandria database | SCAN | single point on PBEsol structure
# **Energy of formation from the pure elements**: 1.9 eV per formula unit
# **Space group**: P4/mmm (123)
# **VASP energy**: -0.7930 Ha/atom
data_SrAlRu2C
_chemical_formula_sum 'Sr1 Al1 Ru2 C1'
_cell_length_a 4.166
_cell_length_b 4.232
_cell_length_c 4.232
_cell_angle_alpha 90.00
_cell_angle_beta 90.00
_cell_angle_gamma 90.00
_symmetry_space_group_name_H-M 'P 1'
_symmetry_Int_Tables_number 1
loop_
_symmetry_equiv_pos_as_xyz
'x,y,z'
loop_
_atom_site_label
_atom_site_fract_x
_atom_site_fract_y
_atom_site_fract_z
Ru1 0.000 0.000 0.500
Ru2 0.000 0.500 0.000
C1 0.000 0.000 0.000
Al1 0.500 0.000 0.000
Sr1 0.500 0.500 0.500

Record 3
# Al2CS | the Alexandria database | SCAN | single point on PBEsol structure
# **Space group**: I-42d (122)
# **VASP energy**: -0.3502 Ha/atom
# **Formation energy from raw total energies**: -0.722 eV/atom
data_Al2CS
_chemical_formula_sum 'Al4 C2 S2'
_cell_length_a 5.010
_cell_length_b 5.010
_cell_length_c 5.998
_cell_angle_alpha 114.69
_cell_angle_beta 114.69
_cell_angle_gamma 90.00
_symmetry_space_group_name_H-M 'P 1'
_symmetry_Int_Tables_number 1
loop_
_symmetry_equiv_pos_as_xyz
'x,y,z'
loop_
_atom_site_label
_atom_site_fract_x
_atom_site_fract_y
_atom_site_fract_z
C1 0.750 0.250 0.500
C2 0.500 0.500 0.000
S1 0.250 0.750 0.500
S2 0.000 0.000 0.000
Al1 0.448 0.875 0.250
Al2 0.802 0.375 0.250
Al3 0.125 0.198 0.750
Al4 0.625 0.552 0.750

Record 4
# AlSbTe2C | the Alexandria database | SCAN | single point on PBEsol structure
# **Space group**: P4/mmm (123)
# **VASP energy**: -0.8891 Ha/atom
# **Formation energy from raw total energies**: 1.729 eV/atom
data_AlSbTe2C
_chemical_formula_sum 'Al1 Sb1 Te2 C1'
_cell_length_a 5.170
_cell_length_b 5.206
_cell_length_c 5.206
_cell_angle_alpha 90.00
_cell_angle_beta 90.00
_cell_angle_gamma 90.00
_symmetry_space_group_name_H-M 'P 1'
_symmetry_Int_Tables_number 1
loop_
_symmetry_equiv_pos_as_xyz
'x,y,z'
loop_
_atom_site_label
_atom_site_fract_x
_atom_site_fract_y
_atom_site_fract_z
Sb1 0.500 0.000 0.000
C1 0.500 0.500 0.500
Te1 0.000 0.000 0.500
Te2 0.000 0.500 0.000
Al1 0.000 0.000 0.000

Record 5
# ScAl3C3 | the Alexandria database | SCAN | single point on PBEsol structure
# **Energy of formation from the pure elements**: -3.5 eV per formula unit
# **Space group**: P6_3/mmc (194)
# **VASP energy**: -0.3742 Ha/atom
data_ScAl3C3
_chemical_formula_sum 'Sc2 Al6 C6'
_cell_length_a 3.345
_cell_length_b 3.345
_cell_length_c 16.642
_cell_angle_alpha 90.00
_cell_angle_beta 90.00
_cell_angle_gamma 120.00
_symmetry_space_group_name_H-M 'P 1'
_symmetry_Int_Tables_number 1
loop_
_symmetry_equiv_pos_as_xyz
'x,y,z'
loop_
_atom_site_label
_atom_site_fract_x
_atom_site_fract_y
_atom_site_fract_z
Sc1 0.000 0.000 0.500
Sc2 0.000 0.000 0.000
C1 0.667 0.333 0.414
C2 0.667 0.333 0.750
C3 0.333 0.667 0.250
C4 0.333 0.667 0.586
C5 0.667 0.333 0.086
C6 0.333 0.667 0.914
Al1 0.333 0.667 0.371
Al2 0.667 0.333 0.629
Al3 0.333 0.667 0.750
Al4 0.333 0.667 0.129
Al5 0.667 0.333 0.871
Al6 0.667 0.333 0.250

Record 6
# Sc2AlC | the Alexandria database | SCAN | single point on PBEsol structure
# **Energy of formation from the pure elements**: -2.1 eV per formula unit
# **Space group**: P6_3/mmc (194)
# **VASP energy**: -0.4453 Ha/atom
data_Sc2AlC
_chemical_formula_sum 'Sc4 Al2 C2'
_cell_length_a 3.263
_cell_length_b 3.263
_cell_length_c 14.946
_cell_angle_alpha 90.00
_cell_angle_beta 90.00
_cell_angle_gamma 120.00
_symmetry_space_group_name_H-M 'P 1'
_symmetry_Int_Tables_number 1
loop_
_symmetry_equiv_pos_as_xyz
'x,y,z'
loop_
_atom_site_label
_atom_site_fract_x
_atom_site_fract_y
_atom_site_fract_z
Sc1 0.333 0.667 0.083
Sc2 0.667 0.333 0.583
Sc3 0.667 0.333 0.917
Sc4 0.333 0.667 0.417
C1 0.000 0.000 0.000
C2 0.000 0.000 0.500
Al1 0.667 0.333 0.250
Al2 0.333 0.667 0.750

Record 7
# Sc2AlC | the Alexandria database | SCAN | single point on PBEsol structure
# **Energy of formation from the pure elements**: -0.2 eV per formula unit
# **Space group**: I-42d (122)
# **VASP energy**: -0.4275 Ha/atom
data_Sc2AlC
_chemical_formula_sum 'Sc4 Al2 C2'
_cell_length_a 5.672
_cell_length_b 5.672
_cell_length_c 5.672
_cell_angle_alpha 107.75
_cell_angle_beta 107.75
_cell_angle_gamma 112.97
_symmetry_space_group_name_H-M 'P 1'
_symmetry_Int_Tables_number 1
loop_
_symmetry_equiv_pos_as_xyz
'x,y,z'
loop_
_atom_site_label
_atom_site_fract_x
_atom_site_fract_y
_atom_site_fract_z
Sc1 0.797 0.875 0.422
Sc2 0.453 0.375 0.578
Sc3 0.125 0.547 0.922
Sc4 0.625 0.203 0.078
C1 0.500 0.500 0.000
C2 0.750 0.250 0.500
Al1 0.000 0.000 0.000
Al2 0.250 0.750 0.500

Record 8
# Al3CSe | the Alexandria database | SCAN | single point on PBEsol structure
# **Space group**: Pm-3m (221)
# **VASP energy**: -0.3197 Ha/atom
# **Formation energy from raw total energies**: 1.987 eV/atom
data_Al3CSe
_chemical_formula_sum 'Al3 C1 Se1'
_cell_length_a 4.836
_cell_length_b 4.836
_cell_length_c 4.836
_cell_angle_alpha 90.00
_cell_angle_beta 90.00
_cell_angle_gamma 90.00
_symmetry_space_group_name_H-M 'P 1'
_symmetry_Int_Tables_number 1
loop_
_symmetry_equiv_pos_as_xyz
'x,y,z'
loop_
_atom_site_label
_atom_site_fract_x
_atom_site_fract_y
_atom_site_fract_z
C1 0.500 0.500 0.500
Al1 0.000 0.500 0.000
Al2 0.000 0.000 0.500
Al3 0.500 0.000 0.000
Se1 0.000 0.000 0.000

Record 9
# Al2CSe | the Alexandria database | SCAN | single point on PBEsol structure
# **Space group**: I-42d (122)
# **VASP energy**: -0.4403 Ha/atom
# **Formation energy from raw total energies**: -0.562 eV/atom
data_Al2CSe
_chemical_formula_sum 'Al4 C2 Se2'
_cell_length_a 5.179
_cell_length_b 5.179
_cell_length_c 6.114
_cell_angle_alpha 115.06
_cell_angle_beta 115.06
_cell_angle_gamma 90.00
_symmetry_space_group_name_H-M 'P 1'
_symmetry_Int_Tables_number 1
loop_
_symmetry_equiv_pos_as_xyz
'x,y,z'
loop_
_atom_site_label
_atom_site_fract_x
_atom_site_fract_y
_atom_site_fract_z
C1 0.750 0.250 0.500
C2 0.500 0.500 0.000
Al1 0.465 0.875 0.250
Al2 0.785 0.375 0.250
Al3 0.125 0.215 0.750
Al4 0.625 0.535 0.750
Se1 0.250 0.750 0.500
Se2 0.000 0.000 0.000

Record 10
# AlSiC2 | the Alexandria database | SCAN | single point on PBEsol structure
# **Space group**: Fm-3m (225)
# **VASP energy**: -0.2875 Ha/atom
# **Formation energy from raw total energies**: 1.670 eV/atom
data_AlSiC2
_chemical_formula_sum 'Al1 Si1 C2'
_cell_length_a 3.752
_cell_length_b 3.752
_cell_length_c 3.752
_cell_angle_alpha 60.00
_cell_angle_beta 60.00
_cell_angle_gamma 60.00
_symmetry_space_group_name_H-M 'P 1'
_symmetry_Int_Tables_number 1
loop_
_symmetry_equiv_pos_as_xyz
'x,y,z'
loop_
_atom_site_label
_atom_site_fract_x
_atom_site_fract_y
_atom_site_fract_z
C1 0.250 0.250 0.250
C2 0.750 0.750 0.750
Si1 0.500 0.500 0.500
Al1 0.000 0.000 0.000

Record 11
# AlSn3C | the Alexandria database | SCAN | single point on PBEsol structure
# **Energy of formation from the pure elements**: 5.2 eV per formula unit
# **Space group**: Pm-3m (221)
# **VASP energy**: -0.8853 Ha/atom
data_AlSn3C
_chemical_formula_sum 'Al1 Sn3 C1'
_cell_length_a 4.723
_cell_length_b 4.723
_cell_length_c 4.723
_cell_angle_alpha 90.00
_cell_angle_beta 90.00
_cell_angle_gamma 90.00
_symmetry_space_group_name_H-M 'P 1'
_symmetry_Int_Tables_number 1
loop_
_symmetry_equiv_pos_as_xyz
'x,y,z'
loop_
_atom_site_label
_atom_site_fract_x
_atom_site_fract_y
_atom_site_fract_z
C1 0.000 0.000 0.000
Sn1 0.000 0.500 0.000
Sn2 0.000 0.000 0.500
Sn3 0.500 0.000 0.000
Al1 0.500 0.500 0.500

Record 12
# Al2SnC | the Alexandria database | SCAN | single point on PBEsol structure
# **Energy of formation from the pure elements**: 0.9 eV per formula unit
# **Space group**: I-42d (122)
# **VASP energy**: -0.5568 Ha/atom
data_Al2SnC
_chemical_formula_sum 'Al4 Sn2 C2'
_cell_length_a 5.658
_cell_length_b 6.103
_cell_length_c 5.658
_cell_angle_alpha 62.38
_cell_angle_beta 90.00
_cell_angle_gamma 117.62
_symmetry_space_group_name_H-M 'P 1'
_symmetry_Int_Tables_number 1
loop_
_symmetry_equiv_pos_as_xyz
'x,y,z'
loop_
_atom_site_label
_atom_site_fract_x
_atom_site_fract_y
_atom_site_fract_z
C1 0.250 0.500 0.250
C2 0.500 0.000 0.500
Sn1 0.750 0.500 0.750
Sn2 0.000 0.000 0.000
Al1 0.500 0.750 0.375
Al2 0.250 0.750 0.875
Al3 0.875 0.250 0.500
Al4 0.375 0.250 0.250